Entry 1:
DyEr2Te3 | Alexandria via LeMat-Bulk | PBE | optimized geometry; formation energy from raw total energies = -1258.5 meV per atom; spin magnetization = 0.00 μB/f.u.; space-group type = No. 167; distance to the lowest polymorph of the same formula = 0 meV per atom
1.0
1.274 4.655 5.347
2.932 -2.307 6.161
8.449 2.128 0.986
Dy Er Te
2 4 6
Cartesian
6.328 2.238 6.247 Dy
0.000 0.000 0.000 Dy
4.933 1.457 2.408 Er
9.844 2.909 4.825 Er
7.722 3.019 10.086 Er
2.811 1.567 7.669 Er
4.987 3.467 8.740 Te
5.124 -0.423 7.243 Te
7.531 4.899 5.251 Te
9.069 1.814 7.598 Te
7.668 1.009 3.754 Te
3.586 2.662 4.895 Te


Entry 2:
DyErTe2 | Alexandria via LeMat-Bulk | PBE | optimized geometry; formation energy from raw total energies = -898.9 meV per atom; spin magnetization = 0.00 μB/f.u.; space-group type = No. 1; distance to the lowest polymorph of the same formula = 378 meV per atom
1.0
-2.861 -3.285 -0.846
3.733 -1.875 -5.387
5.175 -5.985 5.634
Dy Er Te
2 2 4
Cartesian
6.435 -6.839 0.025 Dy
1.294 -5.413 0.273 Dy
3.963 -3.607 -4.193 Er
-0.213 -3.272 -2.858 Er
1.947 -5.254 -2.626 Te
3.583 -7.473 0.498 Te
2.210 -3.810 2.590 Te
4.891 -6.557 4.175 Te


Entry 3:
DyEr5Te4 | Alexandria via LeMat-Bulk | PBE | optimized geometry; formation energy from raw total energies = -868.2 meV per atom; spin magnetization = 0.00 μB/f.u.; space-group type = No. 12
1.0
-1.878 -2.462 -2.692
7.335 -4.014 -1.448
-2.633 -3.527 8.189
Dy Er Te
1 5 4
Cartesian
-0.939 -1.231 -1.346 Dy
1.283 -3.255 2.081 Er
4.553 -4.676 1.099 Er
-1.729 -5.326 2.950 Er
2.728 -3.238 -2.070 Er
1.541 -6.747 1.968 Er
-1.686 -3.090 0.876 Te
1.799 -1.162 -0.192 Te
4.511 -6.912 3.174 Te
1.026 -8.841 4.242 Te


Entry 4:
Dy2ErTe | Alexandria via LeMat-Bulk | PBE | optimized geometry; formation energy from raw total energies = -551.8 meV per atom; spin magnetization = 0.00 μB/f.u.; space-group type = No. 123; distance to the lowest polymorph of the same formula = 92 meV per atom
1.0
3.859 0.000 0.000
0.000 3.859 0.000
0.000 0.000 7.799
Dy Te Er
2 1 1
Cartesian
0.000 0.000 6.027 Dy
0.000 0.000 1.772 Dy
1.930 1.930 0.000 Te
1.930 1.930 3.900 Er


Entry 5:
Dy5ErTe4 | Alexandria via LeMat-Bulk | PBE | optimized geometry; formation energy from raw total energies = -902.5 meV per atom; spin magnetization = 0.00 μB/f.u.; space-group type = No. 12
1.0
4.127 0.000 0.000
0.000 8.504 0.144
-2.064 -2.089 8.859
Dy Er Te
5 1 4
Cartesian
0.000 2.278 3.383 Dy
0.000 5.990 3.024 Dy
2.064 0.425 5.979 Dy
2.064 4.252 0.072 Dy
2.064 4.137 5.620 Dy
2.064 0.000 0.000 Er
2.064 -0.146 2.973 Te
0.000 2.108 0.236 Te
0.000 6.561 6.030 Te
2.064 4.307 8.767 Te


Entry 6:
DyErTe2 | Alexandria via LeMat-Bulk | PBE | optimized geometry; formation energy from raw total energies = -1277.3 meV per atom; spin magnetization = 0.00 μB/f.u.; space-group type = No. 160; distance to the lowest polymorph of the same formula = 0 meV per atom
1.0
-2.341 0.679 3.395
-4.155 0.285 -0.349
-2.774 -7.216 2.104
Dy Er Te
1 1 2
Cartesian
-4.640 -3.197 2.585 Dy
-7.098 -6.500 4.124 Er
-2.625 -5.374 1.838 Te
-2.314 -1.522 1.281 Te


The following final energy values (in eV per atom) correspond, in order, to the records above: -5.117 -4.761 -4.867 -4.779 -4.917 -5.139.
The following ρ values (in g/cm3) correspond, in order, to the records above: 8.4 6.6 8.1 8.9 7.9 8.4.